Entry 1:
Entry from Alexandria: a geometry-optimized Zr2P structure (GGA-PBE).

The structure in POSCAR format:
```
Zr2P
1.0
1.802 -6.752 0.000
1.802 6.752 0.000
0.000 0.000 4.622
Zr P
4 2
Cartesian
1.802 5.852 3.467
1.802 3.344 1.156
1.802 -3.344 3.467
1.802 -5.852 1.156
1.802 1.353 3.467
1.802 -1.353 1.156
```

Results
Energy of formation from the pure elements = -0.6858 eV/atom
Total magnetization = 0.00 μB per formula unit
D(E_F) = 0.885 states/eV per atom

Entry 2:
Entry from Alexandria: a geometry-optimized ZrP3 structure (GGA-PBE).

The structure in POSCAR format:
```
ZrP3
1.0
-1.738 1.738 11.596
1.738 -1.738 11.596
1.738 1.738 -11.596
Zr P
2 6
Cartesian
0.000 0.000 3.680
0.000 0.000 19.511
1.738 0.000 0.000
1.738 0.000 5.798
0.000 0.000 8.920
0.000 1.738 0.000
0.000 0.000 14.271
0.000 1.738 5.798
```

Results
Energy of formation from the pure elements = -0.3888 eV/atom
Total magnetization = 0.00 μB per formula unit
D(E_F) = 0.388 states/eV per atom

Entry 3:
Entry from Alexandria: a geometry-optimized Zr2P structure (GGA-PBE).

The structure in POSCAR format:
```
Zr2P
1.0
5.809 0.000 0.000
0.000 6.179 0.000
0.000 0.000 3.594
Zr P
4 2
Cartesian
1.348 0.907 0.000
1.557 3.997 1.797
4.252 2.183 1.797
4.462 5.272 0.000
0.000 3.090 0.000
2.905 0.000 1.797
```

Results
Energy of formation from the pure elements = -0.8406 eV/atom
Total magnetization = 0.00 μB per formula unit
D(E_F) = 1.141 states/eV per atom

Entry 4:
Entry from Alexandria: a geometry-optimized ZrP structure (GGA-PBE).

The structure in POSCAR format:
```
ZrP
1.0
3.581 0.000 0.000
-1.791 3.101 0.000
0.000 0.000 3.443
Zr P
1 1
Cartesian
0.000 0.000 0.000
0.000 2.068 1.722
```

Results
Energy of formation from the pure elements = -1.1765 eV/atom
Total magnetization = 0.70 μB per formula unit
D(E_F) = 0.567 states/eV per atom

Entry 5:
Entry from Alexandria: a geometry-optimized Zr2P structure (GGA-PBE).

The structure in POSCAR format:
```
Zr2P
1.0
4.932 -1.766 0.000
4.932 1.766 0.000
-0.712 0.000 6.666
Zr P
4 2
Cartesian
0.000 0.000 0.000
0.274 0.000 3.611
3.032 0.000 1.893
6.539 0.000 5.873
3.297 0.000 4.595
5.909 0.000 1.722
```

Results
Energy of formation from the pure elements = -0.8557 eV/atom
Total magnetization = 0.00 μB per formula unit
D(E_F) = 0.473 states/eV per atom

Entry 6:
Entry from Alexandria: a geometry-optimized ZrP3 structure (GGA-PBE).

The structure in POSCAR format:
```
ZrP3
1.0
0.000 3.210 3.210
3.210 0.000 3.210
3.210 3.210 0.000
Zr P
1 3
Cartesian
0.000 0.000 0.000
1.605 1.605 1.605
3.210 3.210 3.210
4.814 4.814 4.814
```

Results
Energy of formation from the pure elements = 0.0817 eV/atom
Total magnetization = 0.00 μB per formula unit
D(E_F) = 0.959 states/eV per atom

Entry 7:
Entry from Alexandria: a geometry-optimized ZrP4 structure (GGA-PBE).

The structure in POSCAR format:
```
ZrP4
1.0
-2.960 2.960 2.960
2.960 -2.960 2.960
2.960 2.960 -2.960
Zr P
1 4
Cartesian
0.000 0.000 0.000
1.480 1.480 -1.480
1.480 -1.480 1.480
-1.480 1.480 1.480
1.480 1.480 1.480
```

Results
Energy of formation from the pure elements = 0.1927 eV/atom
ΔE to the lowest computed polymorph = 12.02 kcal/mol of atoms
Total magnetization = 0.00 μB per formula unit
D(E_F) = 0.585 states/eV per atom

Entry 8:
Entry from Alexandria: a geometry-optimized ZrP structure (GGA-PBE).

The structure in POSCAR format:
```
ZrP
1.0
1.839 1.062 6.413
-1.839 1.062 6.413
0.000 -2.124 6.413
Zr P
2 2
Cartesian
0.000 0.000 0.000
0.000 0.000 3.424
0.000 0.000 11.324
0.000 0.000 14.557
```

Results
Energy of formation from the pure elements = -1.3410 eV/atom
Total magnetization = 0.00 μB per formula unit
D(E_F) = 0.223 states/eV per atom

Entry 9:
Entry from Alexandria: a geometry-optimized Zr2P structure (GGA-PBE).

The structure in POSCAR format:
```
Zr2P
1.0
4.814 0.000 0.000
-2.407 4.169 0.000
0.000 0.000 2.845
Zr P
2 1
Cartesian
0.000 2.779 0.000
2.407 1.390 0.000
0.000 0.000 1.422
```

Results
Energy of formation from the pure elements = 0.2485 eV/atom
Total magnetization = 0.00 μB per formula unit
D(E_F) = 1.105 states/eV per atom

Entry 10:
Entry from Alexandria: a geometry-optimized Zr2P structure (GGA-PBE).

The structure in POSCAR format:
```
Zr2P
1.0
-1.621 1.621 11.708
1.621 -1.621 11.708
1.621 1.621 -11.708
Zr P
4 2
Cartesian
1.621 0.811 1.411
1.621 0.811 4.444
0.000 0.811 7.265
0.000 0.811 10.298
1.621 -0.811 8.781
0.000 2.432 2.927
```

Results
Energy of formation from the pure elements = -0.5122 eV/atom
Total magnetization = 0.00 μB per formula unit
D(E_F) = 1.114 states/eV per atom

Entry 11:
Entry from Alexandria: a geometry-optimized ZrP3 structure (GGA-PBE).

The structure in POSCAR format:
```
ZrP3
1.0
2.742 -3.462 0.000
2.742 3.462 0.000
0.000 0.000 3.391
Zr P
1 3
Cartesian
0.000 0.000 0.000
1.371 1.731 1.696
1.371 -1.731 1.696
2.742 0.000 0.000
```

Results
Energy of formation from the pure elements = -0.2212 eV/atom
Total magnetization = 0.00 μB per formula unit
D(E_F) = 0.289 states/eV per atom

Entry 12:
Entry from Alexandria: a geometry-optimized ZrP structure (GGA-PBE).

The structure in POSCAR format:
```
ZrP
1.0
4.802 -1.756 0.000
4.802 1.756 0.000
-2.743 0.000 6.385
Zr P
3 3
Cartesian
0.000 0.000 0.000
-0.315 0.000 4.050
6.762 0.000 2.247
2.296 0.000 4.253
4.060 0.000 1.932
4.172 0.000 6.066
```

Results
Energy of formation from the pure elements = -1.1523 eV/atom
Total magnetization = 0.00 μB per formula unit
D(E_F) = 0.463 states/eV per atom

Entry 13:
Entry from Alexandria: a geometry-optimized Zr3P2 structure (GGA-PBE).

The structure in POSCAR format:
```
Zr3P2
1.0
1.827 1.055 8.660
-1.827 1.055 8.660
0.000 -2.110 8.660
Zr P
3 2
Cartesian
0.000 0.000 0.000
0.000 0.000 5.586
0.000 0.000 20.393
0.000 0.000 10.247
0.000 0.000 15.732
```

Results
Energy of formation from the pure elements = -1.1058 eV/atom
ΔE to the lowest computed polymorph = 0.00 kcal/mol of atoms
Total magnetization = 0.00 μB per formula unit
D(E_F) = 0.356 states/eV per atom

Entry 14:
Entry from Alexandria: a geometry-optimized ZrP3 structure (GGA-PBE).

The structure in POSCAR format:
```
ZrP3
1.0
3.298 -4.330 0.000
3.298 4.330 0.000
0.000 0.000 4.921
Zr P
2 6
Cartesian
3.298 3.142 3.691
3.298 -3.142 1.230
1.340 1.224 3.691
1.340 -1.224 1.230
3.298 0.151 3.691
3.298 -0.151 1.230
5.255 1.224 3.691
5.255 -1.224 1.230
```

Results
Energy of formation from the pure elements = -0.4118 eV/atom
Total magnetization = 0.00 μB per formula unit
D(E_F) = 0.323 states/eV per atom

Entry 15:
Entry from Alexandria: a geometry-optimized ZrP2 structure (GGA-PBE).

The structure in POSCAR format:
```
ZrP2
1.0
-2.810 2.810 3.331
2.810 -2.810 3.331
2.810 2.810 -3.331
Zr P
2 4
Cartesian
0.000 0.000 1.665
0.000 0.000 4.996
3.580 0.770 0.000
0.770 2.039 0.000
2.039 0.770 3.331
-0.770 2.039 3.331
```

Results
Energy of formation from the pure elements = -0.9618 eV/atom
Total magnetization = 0.00 μB per formula unit
D(E_F) = 0.152 states/eV per atom

Entry 16:
Entry from Alexandria: a geometry-optimized ZrP structure (GGA-PBE).

The structure in POSCAR format:
```
ZrP
1.0
5.053 0.000 0.000
0.000 6.020 0.000
0.000 0.000 9.638
Zr P
8 8
Cartesian
0.638 0.707 0.583
0.661 2.284 6.797
1.866 3.736 1.978
1.888 5.313 5.402
3.165 2.303 9.055
3.187 0.726 2.841
4.393 5.294 7.660
4.415 3.717 4.236
0.686 5.820 3.040
0.707 3.348 9.210
1.819 2.672 4.392
1.840 0.200 7.859
3.213 3.210 6.598
3.234 5.682 0.427
4.346 0.338 5.246
4.367 2.810 1.779
```

Results
Energy of formation from the pure elements = -1.0890 eV/atom
Total magnetization = 0.00 μB per formula unit
D(E_F) = 0.238 states/eV per atom

Entry 17:
Entry from Alexandria: a geometry-optimized Zr2P structure (GGA-PBE).

The structure in POSCAR format:
```
Zr2P
1.0
9.577 -14.813 0.000
9.577 14.813 0.000
0.000 0.000 3.631
Zr P
36 18
Cartesian
4.789 7.406 1.815
3.616 5.029 0.000
8.031 11.303 1.815
9.577 13.270 0.000
2.221 0.000 1.815
7.089 6.410 0.000
4.827 2.455 1.815
9.577 9.129 0.000
11.123 11.303 1.815
4.787 0.000 0.000
9.577 6.563 1.815
7.861 3.600 1.815
4.827 -2.455 1.815
3.616 -5.029 0.000
7.525 0.000 1.815
12.065 6.410 0.000
9.577 1.713 0.000
11.293 3.600 1.815
4.789 -7.406 1.815
7.861 -3.600 1.815
9.577 -1.713 0.000
7.089 -6.410 0.000
11.629 0.000 1.815
15.538 5.029 0.000
14.327 2.455 1.815
11.293 -3.600 1.815
9.577 -6.563 1.815
14.368 0.000 0.000
8.031 -11.303 1.815
9.577 -9.129 0.000
14.327 -2.455 1.815
12.065 -6.410 0.000
16.934 0.000 1.815
9.577 -13.270 0.000
11.123 -11.303 1.815
15.538 -5.029 0.000
2.867 2.037 0.000
7.532 8.455 1.815
5.638 4.949 1.815
2.867 -2.037 0.000
6.808 1.875 0.000
11.623 8.455 1.815
9.577 4.615 0.000
6.808 -1.875 0.000
5.638 -4.949 1.815
13.517 4.949 1.815
12.347 1.875 0.000
9.577 -4.615 0.000
7.532 -8.455 1.815
12.347 -1.875 0.000
16.287 2.037 0.000
13.517 -4.949 1.815
11.623 -8.455 1.815
16.287 -2.037 0.000
```

Results
Energy of formation from the pure elements = -1.0794 eV/atom
Total magnetization = 0.00 μB per formula unit
D(E_F) = 0.822 states/eV per atom

Entry 18:
Entry from Alexandria: a geometry-optimized ZrP2 structure (GGA-PBE).

The structure in POSCAR format:
```
ZrP2
1.0
0.000 3.131 3.131
3.131 0.000 3.131
3.131 3.131 0.000
Zr P
1 2
Cartesian
0.000 0.000 0.000
1.565 1.565 1.565
4.696 4.696 4.696
```

Results
Energy of formation from the pure elements = -0.3105 eV/atom
Total magnetization = 0.00 μB per formula unit
D(E_F) = 1.035 states/eV per atom

Entry 19:
Entry from Alexandria: a geometry-optimized ZrP4 structure (GGA-PBE).

The structure in POSCAR format:
```
ZrP4
1.0
5.002 0.000 0.000
0.000 5.002 0.000
0.000 0.000 5.002
Zr P
1 4
Cartesian
0.000 0.000 0.000
0.000 0.000 2.501
0.000 2.501 0.000
2.501 0.000 0.000
2.501 2.501 2.501
```

Results
Energy of formation from the pure elements = 0.9308 eV/atom
ΔE to the lowest computed polymorph = 29.05 kcal/mol of atoms
Total magnetization = 0.74 μB per formula unit
D(E_F) = 1.031 states/eV per atom

Entry 20:
Entry from Alexandria: a geometry-optimized PaPb5 structure (GGA-PBE).

The structure in POSCAR format:
```
PaPb5
1.0
2.380 -7.916 0.000
2.380 7.916 0.000
0.000 0.000 4.717
Pa Pb
1 5
Cartesian
0.000 0.000 0.000
2.380 5.237 2.359
2.380 2.455 0.000
2.380 0.000 2.359
2.380 -2.455 0.000
2.380 -5.237 2.359
```

Results
Energy of formation from the pure elements = 0.0932 eV/atom
Total magnetization = 1.24 μB per formula unit
D(E_F) = 1.209 states/eV per atom

Entry 21:
Entry from Alexandria: a geometry-optimized PaPb2 structure (GGA-PBE).

The structure in POSCAR format:
```
PaPb2
1.0
0.000 2.805 5.404
2.793 0.000 5.404
2.793 2.805 0.000
Pa Pb
1 2
Cartesian
0.000 0.000 0.000
2.793 2.805 3.522
2.793 2.805 7.286
```

Results
Energy of formation from the pure elements = 0.2761 eV/atom
Total magnetization = 1.15 μB per formula unit
D(E_F) = 2.115 states/eV per atom

Entry 22:
Entry from Alexandria: a geometry-optimized PaPb7 structure (GGA-PBE).

The structure in POSCAR format:
```
PaPb7
1.0
0.000 4.912 4.912
4.912 0.000 4.912
4.912 4.912 0.000
Pa Pb
1 7
Cartesian
0.000 0.000 0.000
2.456 2.456 0.000
2.456 0.000 2.456
4.912 2.456 2.456
0.000 2.456 2.456
2.456 4.912 2.456
2.456 2.456 4.912
4.912 4.912 4.912
```

Results
Energy of formation from the pure elements = 0.0381 eV/atom
Total magnetization = 0.91 μB per formula unit
D(E_F) = 0.922 states/eV per atom

Entry 23:
Entry from Alexandria: a geometry-optimized PaPb3 structure (GGA-PBE).

The structure in POSCAR format:
```
PaPb3
1.0
-1.707 5.677 2.952
1.707 -5.677 2.952
1.707 5.677 -2.952
Pa Pb
1 3
Cartesian
0.000 0.000 0.000
1.707 2.798 1.075
0.000 5.677 0.051
0.000 2.879 4.027
```

Results
Energy of formation from the pure elements = 0.0678 eV/atom
ΔE to the lowest computed polymorph = 1.81 kcal/mol of atoms
Total magnetization = 0.97 μB per formula unit
D(E_F) = 1.503 states/eV per atom

Entry 24:
Entry from Alexandria: a geometry-optimized Pa8Pb structure (GGA-PBE).

The structure in POSCAR format:
```
Pa8Pb
1.0
-4.995 4.995 2.283
4.995 -4.995 2.283
4.995 4.995 -2.283
Pa Pb
8 1
Cartesian
3.307 0.000 0.000
6.684 0.000 0.000
0.000 3.307 0.000
3.343 3.343 0.000
1.653 -1.653 2.283
-1.653 1.653 2.283
1.653 1.653 2.283
0.000 6.684 0.000
0.000 0.000 0.000
```

Results
Energy of formation from the pure elements = 0.0460 eV/atom
Total magnetization = 0.00 μB per formula unit
D(E_F) = 1.945 states/eV per atom

Entry 25:
Entry from Alexandria: a geometry-optimized Pa3Pb structure (GGA-PBE).

The structure in POSCAR format:
```
Pa3Pb
1.0
-1.618 5.483 2.884
1.618 -5.483 2.884
1.618 5.483 -2.884
Pa Pb
3 1
Cartesian
0.000 0.000 0.000
1.618 2.775 1.016
0.000 2.708 3.900
1.618 0.000 2.859
```

Results
Energy of formation from the pure elements = 0.0458 eV/atom
ΔE to the lowest computed polymorph = 0.50 kcal/mol of atoms
Total magnetization = 0.00 μB per formula unit
D(E_F) = 2.229 states/eV per atom